(1)
VCdPt2 | PBE-GGA | optimized geometry

Cell and atoms, written as CIF:
```
data_VCdPt2
_symmetry_space_group_name_H-M 'R -3 m'
_symmetry_Int_Tables_number 166
_symmetry_space_group_name_Hall '-R 3 2"'
_cell_length_a 2.8415
_cell_length_b 2.8415
_cell_length_c 27.6388
_cell_angle_alpha 90.00
_cell_angle_beta 90.00
_cell_angle_gamma 120.00
loop_
_atom_site_label
_atom_site_fract_x
_atom_site_fract_y
_atom_site_fract_z
V1 0.0000 0.0000 0.0000
Cd1 0.0000 0.0000 0.5000
Pt1 0.0000 0.0000 0.2579
```

Theoretical density in g/cm³: 14.3
Size of the total moment in μB/cell: 0.00
V in A^3/atom: 16.1
Total DFT energy (no corrections) in eV per atom: -5.82
Formation energy in eV per atom: -0.287
DOS at the Fermi energy in states/eV per cell: 5.9
Crystal system: trigonal



(2)
ZnIn7Hg2 | PBE-GGA | optimized geometry

Cell and atoms, written as CIF:
```
data_ZnIn7Hg2
_symmetry_space_group_name_H-M 'C 1 2/c 1'
_symmetry_Int_Tables_number 15
_cell_length_a 16.9512
_cell_length_b 7.3297
_cell_length_c 10.0536
_cell_angle_alpha 90.00
_cell_angle_beta 123.33
_cell_angle_gamma 90.00
loop_
_symmetry_equiv_pos_as_xyz
'x,y,z'
'-x,-y,-z'
'-x,y,-z+1/2'
'x,-y,z+1/2'
'x+1/2,y+1/2,z'
'-x+1/2,-y+1/2,-z'
'-x+1/2,y+1/2,-z+1/2'
'x+1/2,-y+1/2,z+1/2'
loop_
_atom_site_label
_atom_site_fract_x
_atom_site_fract_y
_atom_site_fract_z
Zn1 0.0000 0.0009 0.2500
In1 0.0000 0.4153 0.7500
In2 0.0717 0.1851 0.0655
In3 0.1364 0.2685 0.4892
In4 0.1904 0.1045 0.8571
Hg1 0.1927 0.4909 0.2813
```

Theoretical density in g/cm³: 8.1
Size of the total moment in μB/cell: 0.00
V in A^3/atom: 26.1
Total DFT energy (no corrections) in eV per atom: -2.06
Formation energy in eV per atom: 0.041
DOS at the Fermi energy in states/eV per cell: 16.9
Crystal system: monoclinic



(3)
MgNiPt2 | PBE-GGA | optimized geometry

Cell and atoms, written as CIF:
```
data_MgNiPt2
_symmetry_space_group_name_H-M 'C m m m'
_symmetry_Int_Tables_number 65
_symmetry_space_group_name_Hall '-C 2 2'
_cell_length_a 5.6383
_cell_length_b 7.2299
_cell_length_c 2.8411
_cell_angle_alpha 90.00
_cell_angle_beta 90.00
_cell_angle_gamma 90.00
loop_
_atom_site_label
_atom_site_fract_x
_atom_site_fract_y
_atom_site_fract_z
Mg1 0.0000 0.0000 0.0000
Ni1 0.0000 0.5000 0.0000
Pt1 0.2500 0.2500 0.5000
```

Theoretical density in g/cm³: 13.6
Size of the total moment in μB/cell: 1.46
V in A^3/atom: 14.5
Total DFT energy (no corrections) in eV per atom: -5.35
Formation energy in eV per atom: -0.484
DOS at the Fermi energy in states/eV per cell: 7.1
Crystal system: orthorhombic



(4)
CaSmTm2 | PBE-GGA | optimized geometry

Cell and atoms, written as CIF:
```
data_CaSmTm2
_symmetry_space_group_name_H-M 'R -3 m'
_symmetry_Int_Tables_number 166
_symmetry_space_group_name_Hall '-R 3 2"'
_cell_length_a 3.5391
_cell_length_b 3.5391
_cell_length_c 37.3760
_cell_angle_alpha 90.00
_cell_angle_beta 90.00
_cell_angle_gamma 120.00
loop_
_atom_site_label
_atom_site_fract_x
_atom_site_fract_y
_atom_site_fract_z
Ca1 0.0000 0.0000 0.0000
Sm1 0.0000 0.0000 0.5000
Tm1 0.0000 0.0000 0.0904
```

Theoretical density in g/cm³: 6.5
Size of the total moment in μB/cell: 0.00
V in A^3/atom: 33.8
Total DFT energy (no corrections) in eV per atom: -3.74
Formation energy in eV per atom: 0.175
Distance to the lowest polymorph of the same formula in eV per atom: 0.102
DOS at the Fermi energy in states/eV per cell: 17.0
Crystal system: trigonal